# 1
Below is a relaxed structure of YAlNiHg, with properties calculated at the PBE-GGA level.

Cell: 6.721 6.721 6.721 Å, 90.00 90.00 90.00°
Space group F-43m (No. 216)
Unique sites:
Y 0.000 0.000 0.000
Al 0.000 0.000 0.500
Ni 0.250 0.250 0.750
Hg 0.250 0.250 0.250

Calculated values
Final energy in eV per atom: -4.31

***

# 2
Below is a relaxed structure of ZrAlNiHg, with properties calculated at the PBE-GGA level.

Cell: 6.526 6.526 6.526 Å, 90.00 90.00 90.00°
Space group F-43m (No. 216)
Unique sites:
Zr 0.000 0.000 0.000
Al 0.000 0.000 0.500
Ni 0.250 0.250 0.750
Hg 0.250 0.250 0.250

Calculated values
Final energy in eV per atom: -4.74

***

# 3
Below is a relaxed structure of AlHgO3, with properties calculated at the PBE-GGA level.

Cell: 5.2907 5.2907 12.9971 Å, 90.00 90.00 120.00°
Space group R-3c (No. 167, hexagonal axes)
Unique sites:
Al 0.0000 0.0000 0.0000
Hg 0.0000 0.0000 0.2500
O 0.0000 0.4212 0.2500

Calculated values
Final energy in eV per atom: -5.12

***

# 4
Below is a relaxed structure of AlHgO3, with properties calculated at the PBE-GGA level.

Cell: 5.432 8.588 5.190 Å, 90.00 90.00 90.00°
Space group Pnma (No. 62)
Unique sites:
Al 0.056 0.250 0.048
Hg 0.000 0.000 0.500
O 0.163 0.092 0.850
O 0.239 0.750 0.814

Calculated values
Final energy in eV per atom: -5.09

***

# 5
Below is a relaxed structure of AlHgO3, with properties calculated at the PBE-GGA level.

Cell: 5.2215 5.2215 14.6164 Å, 90.00 90.00 120.00°
Space group R-3 (No. 148, hexagonal axes)
Unique sites:
Al 0.0000 0.0000 0.1579
Hg 0.0000 0.0000 0.3652
O 0.0124 0.3917 0.4314

Calculated values
Final energy in eV per atom: -5.13

***

# 6
Below is a relaxed structure of AlHgO3, with properties calculated at the PBE-GGA level.

Cell: 5.383 7.256 5.376 Å, 90.00 90.00 90.00°
Space group Pnma (No. 62)
Unique sites:
Al 0.000 0.000 0.000
Hg 0.004 0.250 0.496
O 0.009 0.750 0.979
O 0.177 0.509 0.323

Calculated values
Final energy in eV per atom: -5.15